This record from the Alexandria database describes a geometry-optimized BeHI3 structure. The functional is PBE.

```
BeHI3
1.0
5.3256 0.0000 0.0000
0.0000 5.3256 0.0000
0.0000 0.0000 5.3256
I H Be
3 1 1
Direct
0.0000 0.5000 0.0000
0.0000 0.0000 0.5000
0.5000 0.0000 0.0000
0.5000 0.5000 0.5000
0.0000 0.0000 0.0000
```

## Properties
- Total DFT energy (no corrections): -1.84 eV/atom
- Magnetic moment: 0.203 μB per atom
- Offset from the most stable computed form: 0.000 kcal/mol of atoms